Compound: Rb3Bi2Pb5
Source: Alexandria
Functional: PBE
Structure: optimized geometry

The space group is Ibam (No. 72) and the conventional cell measures 13.918, 15.818 and 7.600 Å, with angles of 90.00, 90.00 and 90.00 degrees. The distinct sites, in fractional coordinates, are Rb at (0.000, 0.000, 0.250), Rb at (0.245, 0.373, 0.000), Bi at (0.142, 0.153, 0.000), Pb at (0.000, 0.263, 0.250), Pb at (0.000, 0.500, 0.250) and Pb at (0.136, 0.383, 0.500).

The formation energy comes out at -0.161 eV per atom. The calculation puts the energy at -123.3 eV per cell. The magnetic moment comes out at 0.00 μB per formula unit. As for the crystal system: orthorhombic. The value obtained for the density of states at the Fermi level is 15.20 states/eV per cell.